AcSm2WO8 | GGA+U | relaxed

Output
Calculated total energy, eV per atom: -7.8120

Cell lengths 7.261, 7.310, 7.262 Å; angles 90.00, 90.00, 90.00 degrees
Space group Cmmm (No. 65)
Symmetry-distinct sites (fractional):
Ac1 0.000 0.000 0.000 [2 per cell]
Sm1 0.000 0.500 0.264 [4 per cell]
W1 0.000 0.000 0.500 [2 per cell]
O1 0.000 0.182 0.302 [8 per cell]
O2 0.177 0.500 0.000 [4 per cell]
O3 0.229 0.500 0.500 [4 per cell]